# 1
# BeWBr2, optimized geometry, DFT GGA-PBE
data_BeWBr2
_space_group_name_H-M_alt 'P 1'
_space_group_IT_number 1
_space_group_name_Hall 'P 1'
_cell_length_a 4.535
_cell_length_b 4.535
_cell_length_c 4.535
_cell_angle_alpha 60.00
_cell_angle_beta 60.00
_cell_angle_gamma 60.00
loop_
_atom_site_label
_atom_site_fract_x
_atom_site_fract_y
_atom_site_fract_z
Be1 0.000 0.000 0.000
W1 0.500 0.500 0.500
Br1 0.250 0.250 0.250
Br2 0.750 0.750 0.750
# - Theoretical density: 8.88 g/cm3
# - DOS at the Fermi energy: 3.0 states/eV/f.u.
# - Distance to the lowest polymorph of the same formula: 1.080 eV per atom
# - Formation energy from raw total energies: 1227 meV per atom
# - Volume: 16.49 A^3/atom


# 2
# BeW2Br, optimized geometry, DFT GGA-PBE
data_BeW2Br
_space_group_name_H-M_alt 'P 1'
_space_group_IT_number 1
_space_group_name_Hall 'P 1'
_cell_length_a 5.286
_cell_length_b 5.286
_cell_length_c 5.286
_cell_angle_alpha 147.23
_cell_angle_beta 127.59
_cell_angle_gamma 63.20
loop_
_atom_site_label
_atom_site_fract_x
_atom_site_fract_y
_atom_site_fract_z
W1 0.981 0.981 0.000
W2 0.519 0.519 0.000
Br1 0.250 0.750 0.500
Be1 0.750 0.250 0.500
# - Theoretical density: 12.09 g/cm3
# - DOS at the Fermi energy: 3.1 states/eV/f.u.
# - Distance to the lowest polymorph of the same formula: 0.609 eV per atom
# - Formation energy from raw total energies: 1055 meV per atom
# - Volume: 15.67 A^3/atom


# 3
# BeW2Br, optimized geometry, DFT GGA-PBE
data_BeW2Br
_space_group_name_H-M_alt 'P 1'
_space_group_IT_number 1
_space_group_name_Hall 'P 1'
_cell_length_a 5.165
_cell_length_b 5.165
_cell_length_c 5.165
_cell_angle_alpha 145.47
_cell_angle_beta 127.86
_cell_angle_gamma 64.05
loop_
_atom_site_label
_atom_site_fract_x
_atom_site_fract_y
_atom_site_fract_z
Br1 0.251 0.751 0.500
Be1 0.513 0.513 0.000
W1 0.725 0.225 0.500
W2 0.011 0.011 0.000
# - Theoretical density: 12.44 g/cm3
# - DOS at the Fermi energy: 2.8 states/eV/f.u.
# - Distance to the lowest polymorph of the same formula: 0.596 eV per atom
# - Formation energy from raw total energies: 1041 meV per atom
# - Volume: 15.24 A^3/atom